(1)
# Hf2RhCl

A relaxed structure of Hf2RhCl (PBE, the Alexandria database).

Computed properties:
- Calculated total energy: -30.5 eV/f.u.
- Theoretical density: 11.30 g/cm³
- Relative energy among the computed polymorphs: 0.0 meV per atom
- Raw formation energy: -341 meV/atom

abc: 4.6861 4.6861 4.6861
angles: 60.00 60.00 60.00
Last column: nearest neighbours and their distance in Å.
Fractional coordinates of all 4 atoms:
1 Hf 0.2500 0.2500 0.2500  4 Cl 2.87, 4 Rh 2.87
2 Hf 0.7500 0.7500 0.7500  4 Rh 2.87, 4 Cl 2.87
3 Rh 0.0000 0.0000 0.0000  8 Hf 2.87
4 Cl 0.5000 0.5000 0.5000  8 Hf 2.87

(2)
# CaDyAlPd

A relaxed structure of CaDyAlPd (PBE, the Alexandria database).

Computed properties:
- Calculated total energy: -17.5 eV/f.u.
- Formation energy from the elements: -0.4785 eV/atom
- Theoretical density: 6.03 g/cm³

abc: 5.0770 5.0770 5.0770
angles: 60.00 60.00 60.00
Last column: nearest neighbours and their distance in Å.
Fractional coordinates of all 4 atoms:
1 Ca 0.0000 0.0000 0.0000  4 Al 3.11, 4 Pd 3.11
2 Dy 0.5000 0.5000 0.5000  4 Al 3.11, 4 Pd 3.11
3 Al 0.7500 0.7500 0.7500  4 Ca 3.11, 4 Dy 3.11
4 Pd 0.2500 0.2500 0.2500  4 Dy 3.11, 4 Ca 3.11

(3)
# In2RePbS

A relaxed structure of In2RePbS (PBE, the Alexandria database).

Computed properties:
- Calculated total energy: -17.9 eV/f.u.
- Theoretical density: 6.07 g/cm³
- Raw formation energy: 1571 meV/atom

abc: 5.8109 5.8109 5.3062
angles: 90.00 90.00 90.00
Last column: nearest neighbours and their distance in Å.
Fractional coordinates of all 5 atoms:
1 In 0.0000 0.5000 0.0000  2 Pb 2.91
2 In 0.5000 0.0000 0.0000  2 Pb 2.91
3 Re 0.0000 0.0000 0.5000  2 Pb 2.65
4 Pb 0.0000 0.0000 0.0000  2 Re 2.65, 4 In 2.91
5 S 0.5000 0.5000 0.5000  8 In 3.93, 4 Re 4.11